1.
Density functional theory data (PBE-GGA) for a relaxed La8TlGa2 crystal.

```
11
Lattice="-2.531 4.504 7.600 2.531 -4.504 7.600 2.531 4.504 -7.600" Properties=species:S:1:pos:R:3 pbc="T T T"
La 2.531 2.519 -2.405
La 0.000 0.000 2.306
La 0.000 2.977 0.000
La 2.531 2.519 2.405
La 0.000 1.985 5.195
La 0.000 6.030 0.000
La 0.000 0.000 12.894
La 0.000 1.985 10.005
Tl 2.531 0.000 0.000
Ga 2.531 0.000 4.625
Ga 0.000 4.504 2.975
```

Results
The formation energy comes out at -254 meV per atom.

***

2.
Density functional theory data (PBE-GGA) for a relaxed La14TlGa crystal.

```
16
Lattice="7.193 0.000 0.000 0.000 7.193 0.000 0.000 0.000 10.507" Properties=species:S:1:pos:R:3 pbc="T T T"
La 0.000 0.000 0.000
La 0.000 3.596 0.000
La 0.000 3.596 5.253
La 1.764 1.764 2.738
La 1.764 1.764 7.769
La 1.764 5.428 2.738
La 1.764 5.428 7.769
La 3.596 0.000 0.000
La 3.596 0.000 5.253
La 3.596 3.596 0.000
La 5.428 1.764 2.738
La 5.428 1.764 7.769
La 5.428 5.428 2.738
La 5.428 5.428 7.769
Tl 3.596 3.596 5.253
Ga 0.000 0.000 5.253
```

Results
The formation energy comes out at -107 meV per atom.